The following is a DFT calculation (PBE) of a relaxed structure of MnGaBRuSe.

a = 3.7783 Å, b = 4.0445 Å, c = 10.5239 Å
α = 90.00°, β = 90.00°, γ = 90.00°
Last column: nearest neighbours and their distance in Å.
Element x y z (fractional)
Mn1 0.0000 0.0000 0.0000  2 B 2.10
Mn2 0.0000 0.5000 0.5000  2 B 2.10
Ga1 0.0000 0.0000 0.3011  2 Ru 2.49, 2 Se 2.76
Ga2 0.0000 0.5000 0.8011  2 Ru 2.49, 2 Se 2.76
B1 0.5000 0.0000 0.9134  2 Ru 2.07, 2 Mn 2.10
B2 0.5000 0.5000 0.4134  2 Ru 2.07, 2 Mn 2.10
Ru1 0.5000 0.0000 0.4548  2 B 2.07
Ru2 0.5000 0.5000 0.9548  2 B 2.07
Se1 0.0000 0.0000 0.6224  2 Mn 2.40, 2 Ru 2.58
Se2 0.0000 0.5000 0.1224  2 Mn 2.40, 2 Ru 2.58

* crystal system: orthorhombic
* energy above the most stable polymorph in this dataset: 23.5 kJ/mol of atoms
* raw formation energy: 0.03 eV/atom